This record from Alexandria via LeMat-Bulk describes Lu2RuRh at its PBEsol-relaxed geometry. The functional is SCAN.

Unit cell a=4.641 b=4.641 c=4.641 alpha=60.00 beta=60.00 gamma=60.00
Fractional coordinates of all 4 atoms:
Lu1 0.250 0.250 0.250
Lu2 0.750 0.750 0.750
Rh1 0.500 0.500 0.500
Ru1 0.000 0.000 0.000

Results
size of the total moment = 0.00 Bohr magnetons per cell
E_tot = -182.97 eV per cell
space-group type = Fm-3m (225)
formation energy = -0.920 eV/atom